Material: Te2IrPt
Method: DFT, SCAN
State: single point on PBEsol structure

Cell lengths 3.946, 3.948, 6.985 Å; angles 73.69, 73.59, 60.01 degrees
Positions (direct):
Ir 0.505 0.506 0.485
Pt 0.245 0.244 0.266
Te 0.973 0.971 0.083
Te 0.777 0.780 0.665

Values from the calculation:
- ΔE to the lowest computed polymorph (meV per atom) = 0
- M_tot (μB per atom) = 0.000
- crystal system = monoclinic
- V (Å³/f.u.) = 89
- electronic total energy (eV/atom) = -54.196